Below is a relaxed Rb4BiO5 crystal, with properties calculated at the PBE-GGA level.

Unit cell a=6.1537 b=6.8491 c=6.8491 alpha=78.36 beta=63.31 gamma=63.31
Closest atoms and distances in Å follow each position.
Fractional coordinates of all 10 atoms:
Rb 0.8195 0.7954 0.6154  4 O 2.78-2.93
Rb 0.4349 0.3846 0.7954  4 O 2.78-2.93
Rb 0.2303 0.2046 0.3846  4 O 2.78-2.93
Rb 0.6148 0.6154 0.2046  4 O 2.78-2.93
O 0.0615 0.6980 0.1556  1 Bi 2.13
O 0.7596 0.1556 0.3020  1 Bi 2.13
O 0.3953 0.0000 0.0000  1 Bi 2.05
O 0.2171 0.8444 0.6980  1 Bi 2.13
O 0.9152 0.3020 0.8444  1 Bi 2.13
Bi 0.0621 0.0000 0.0000  5 O 2.05-2.13

## Properties
Its formation energy (no corrections) is -1.14 eV per atom.

***

Below is a relaxed Zn3AgPt crystal, with properties calculated at the PBE-GGA level.

Unit cell a=4.7964 b=5.2535 c=7.0724 alpha=111.80 beta=90.00 gamma=90.00
Closest atoms and distances in Å follow each position.
Fractional coordinates of all 10 atoms:
Zn 0.5000 0.0000 0.0000  2 Zn 2.40, 2 Pt 2.55
Zn 0.2500 0.9190 0.3303  3 Pt 2.53-2.73, 4 Zn 2.59-2.80
Zn 0.2500 0.4113 0.3303  3 Pt 2.53-2.73, 4 Zn 2.59-2.80
Zn 0.0000 0.0000 0.0000  2 Zn 2.40, 2 Pt 2.55
Zn 0.7500 0.0810 0.6697  3 Pt 2.53-2.73, 4 Zn 2.59-2.80
Zn 0.7500 0.5887 0.6697  3 Pt 2.53-2.73, 4 Zn 2.59-2.80
Pt 0.2500 0.8284 0.6569  8 Zn 2.53-2.73
Pt 0.7500 0.1716 0.3431  8 Zn 2.53-2.73
Ag 0.7500 0.5687 0.1373  2 Pt 2.95, 2 Ag 3.00, 8 Zn 3.02-3.03
Ag 0.2500 0.4313 0.8627  2 Pt 2.95, 2 Ag 3.00, 8 Zn 3.02-3.03

## Properties
The formation energy is -0.1805 eV/atom.

***

Below is a relaxed PmCoSi3Ir crystal, with properties calculated at the PBE-GGA level.

Unit cell a=5.6755 b=6.1820 c=6.9653 alpha=116.34 beta=90.00 gamma=90.00
Closest atoms and distances in Å follow each position.
Fractional coordinates of all 12 atoms:
Pm 0.7500 0.2088 0.4175  2 Si 2.84, 1 Co 3.10
Pm 0.2500 0.7912 0.5825  2 Si 2.84, 1 Co 3.10
Ir 0.7500 0.6131 0.2262  5 Si 2.24-2.41
Ir 0.2500 0.3869 0.7738  5 Si 2.24-2.41
Si 0.7500 0.7928 0.5855  1 Co 2.10, 1 Ir 2.24
Si 0.0000 0.7171 0.0000  2 Co 2.30, 2 Ir 2.41
Si 0.5000 0.2829 0.0000  2 Co 2.30, 2 Ir 2.41
Si 0.0000 0.2829 0.0000  2 Co 2.30, 2 Ir 2.41
Si 0.2500 0.2072 0.4145  1 Co 2.10, 1 Ir 2.24
Si 0.5000 0.7171 0.0000  2 Co 2.30, 2 Ir 2.41
Co 0.7500 0.9608 0.9215  5 Si 2.10-2.30
Co 0.2500 0.0392 0.0785  5 Si 2.10-2.30

## Properties
Its formation energy (no corrections) is -0.53 eV per atom.

***

Below is a relaxed AcAl2InPd5 crystal, with properties calculated at the PBE-GGA level.

Unit cell a=4.8122 b=4.8122 c=7.6270 alpha=90.00 beta=90.00 gamma=90.00
Closest atoms and distances in Å follow each position.
Fractional coordinates of all 9 atoms:
Pd 0.0000 0.5000 0.7886  2 Al 2.42
Pd 0.0000 0.5000 0.2114  2 Al 2.42
Pd 0.5000 0.0000 0.7886  2 Al 2.42
Pd 0.5000 0.0000 0.2114  2 Al 2.42
Pd 0.5000 0.5000 0.5000  2 Al 2.50
Al 0.5000 0.5000 0.1726  5 Pd 2.42-2.50, 1 Al 2.63
Al 0.5000 0.5000 0.8274  5 Pd 2.42-2.50, 1 Al 2.63
In 0.0000 0.0000 0.0000  8 Pd 2.90
Ac 0.0000 0.0000 0.5000  12 Pd 3.26-3.40

## Properties
The formation energy is -0.5486 eV/atom.

***

Below is a relaxed Cd2CuRu crystal, with properties calculated at the PBE-GGA level.

Unit cell a=2.8399 b=4.0083 c=5.9090 alpha=90.00 beta=90.00 gamma=90.00
Closest atoms and distances in Å follow each position.
Fractional coordinates of all 4 atoms:
Ru 0.5000 0.5000 0.7346  5 Cd 2.75-2.84, 4 Cu 2.76, 2 Ru 2.84
Cu 0.0000 0.0000 0.5199  5 Cd 2.70-2.87, 4 Ru 2.76, 2 Cu 2.84
Cd 0.5000 0.5000 0.2694  1 Ru 2.75, 6 Cd 2.84-3.01, 4 Cu 2.87
Cd 0.0000 0.0000 0.9761  1 Cu 2.70, 6 Cd 2.84-3.01, 4 Ru 2.84

## Properties
The formation energy is 0.2948 eV/atom.

***

Below is a relaxed IrW4Br crystal, with properties calculated at the PBE-GGA level.

Unit cell a=5.3007 b=5.3007 c=5.3007 alpha=60.00 beta=60.00 gamma=60.00
Closest atoms and distances in Å follow each position.
Fractional coordinates of all 6 atoms:
W 0.3751 0.3751 0.3751  6 W 2.65
W 0.8747 0.3751 0.3751  6 W 2.65
W 0.3751 0.3751 0.8747  6 W 2.65
W 0.3751 0.8747 0.3751  6 W 2.65
Br 0.7500 0.7500 0.7500  12 W 3.11, 4 Ir 3.25
Ir 0.0000 0.0000 0.0000  12 W 3.11, 4 Br 3.25

## Properties
Its formation energy (no corrections) is 1.10 eV per atom.

***

Number 1: total energy -4.390 eV per atom. Number 2: total energy -2.723 eV per atom. Number 3: total energy -6.693 eV per atom. Number 4: total energy -5.026 eV per atom. Number 5: total energy -3.506 eV per atom. Number 6: total energy -9.291 eV per atom.